{
  "formula": "Ba3GaGe",
  "functional": "PBE",
  "state": "optimized geometry",
  "delta_e_f_ev_per_atom": -0.04,
  "n_ef_per_ev_fu": 5.85,
  "lattice_angstrom": [[6.387, 0.000, 0.000], [0.000, 6.387, 0.000], [0.000, 0.000, 6.387]],
  "species": ["Ba", "Ba", "Ba", "Ga", "Ge"],
  "frac_coords": [[0.000, 0.000, 0.500], [0.000, 0.500, 0.000], [0.500, 0.000, 0.000], [0.500, 0.500, 0.500], [0.000, 0.000, 0.000]]
}



{
  "formula": "BaGa2Ge",
  "functional": "PBE",
  "state": "optimized geometry",
  "delta_e_f_ev_per_atom": -0.11,
  "n_ef_per_ev_fu": 1.85,
  "lattice_angstrom": [[0.000, 3.727, 3.727], [3.727, 0.000, 3.727], [3.727, 3.727, 0.000]],
  "species": ["Ba", "Ga", "Ga", "Ge"],
  "frac_coords": [[0.000, 0.000, 0.000], [0.250, 0.250, 0.250], [0.750, 0.750, 0.750], [0.500, 0.500, 0.500]]
}



{
  "formula": "Ba3Ga2Ge2",
  "functional": "PBE",
  "state": "optimized geometry",
  "delta_e_f_ev_per_atom": -0.49,
  "n_ef_per_ev_fu": 3.62,
  "lattice_angstrom": [[6.220, -2.409, 0.000], [6.220, 2.409, 0.000], [-3.619, 0.000, 7.538]],
  "species": ["Ba", "Ba", "Ba", "Ga", "Ga", "Ge", "Ge"],
  "frac_coords": [[0.000, 0.000, 0.000], [0.180, 0.180, 0.620], [0.820, 0.820, 0.380], [0.302, 0.302, 0.071], [0.698, 0.698, 0.929], [0.492, 0.492, 0.659], [0.508, 0.508, 0.341]]
}



{
  "formula": "BaGa3Ge3",
  "functional": "PBE",
  "state": "optimized geometry",
  "delta_e_f_ev_per_atom": -0.21,
  "n_ef_per_ev_fu": 3.94,
  "lattice_angstrom": [[10.095, 0.000, 0.000], [-5.047, 8.742, 0.000], [0.000, 0.000, 4.407]],
  "species": ["Ba", "Ba", "Ga", "Ga", "Ga", "Ga", "Ga", "Ga", "Ge", "Ge", "Ge", "Ge", "Ge", "Ge"],
  "frac_coords": [[0.333, 0.667, 0.250], [0.667, 0.333, 0.750], [0.067, 0.670, 0.750], [0.330, 0.397, 0.750], [0.397, 0.067, 0.250], [0.603, 0.933, 0.750], [0.670, 0.603, 0.250], [0.933, 0.330, 0.250], [0.077, 0.405, 0.750], [0.328, 0.923, 0.750], [0.405, 0.328, 0.250], [0.595, 0.672, 0.750], [0.672, 0.077, 0.250], [0.923, 0.595, 0.250]]
}